[1]
SrFeNi3: relaxed, GGA-PBE.

Values from the calculation:
- calculated formation energy (eV/atom) = 2.324
- E above lowest polymorph (eV/atom) = 1.894
- electronic total energy (Ry per atom) = -0.23325
- volume (Å³/atom) = 20.0
- crystal system = cubic
- SG = Pm-3m, No. 221

CIF file:
```
data_SrFeNi3
_symmetry_space_group_name_H-M 'P 1'
_symmetry_Int_Tables_number 1
_cell_length_a 4.644
_cell_length_b 4.644
_cell_length_c 4.644
_cell_angle_alpha 90.00
_cell_angle_beta 90.00
_cell_angle_gamma 90.00
loop_
_symmetry_equiv_pos_as_xyz
'x,y,z'
loop_
_atom_site_label
_atom_site_type_symbol
_atom_site_fract_x
_atom_site_fract_y
_atom_site_fract_z
_atom_site_occupancy
Sr1 Sr 0.000 0.000 0.000 1
Fe1 Fe 0.500 0.500 0.500 1
Ni1 Ni 0.000 0.000 0.500 1
Ni2 Ni 0.000 0.500 0.000 1
Ni3 Ni 0.500 0.000 0.000 1
```

---

[2]
Sr2FeNi: relaxed, GGA-PBE.

Values from the calculation:
- calculated formation energy (eV/atom) = 0.578
- E above lowest polymorph (eV/atom) = 0.343
- electronic total energy (Ry per atom) = -0.28104
- volume (Å³/atom) = 25.6
- crystal system = cubic
- SG = Fm-3m, No. 225

CIF file:
```
data_Sr2FeNi
_symmetry_space_group_name_H-M 'P 1'
_symmetry_Int_Tables_number 1
_cell_length_a 5.251
_cell_length_b 5.251
_cell_length_c 5.251
_cell_angle_alpha 60.00
_cell_angle_beta 60.00
_cell_angle_gamma 60.00
loop_
_symmetry_equiv_pos_as_xyz
'x,y,z'
loop_
_atom_site_label
_atom_site_type_symbol
_atom_site_fract_x
_atom_site_fract_y
_atom_site_fract_z
_atom_site_occupancy
Sr1 Sr 0.250 0.250 0.250 1
Sr2 Sr 0.750 0.750 0.750 1
Fe1 Fe 0.000 0.000 0.000 1
Ni1 Ni 0.500 0.500 0.500 1
```

---

[3]
SrFeNi: relaxed, GGA-PBE.

Values from the calculation:
- calculated formation energy (eV/atom) = 1.409
- E above lowest polymorph (eV/atom) = 1.166
- electronic total energy (Ry per atom) = -0.28662
- volume (Å³/atom) = 25.4
- crystal system = cubic
- SG = F-43m, No. 216

CIF file:
```
data_SrFeNi
_symmetry_space_group_name_H-M 'P 1'
_symmetry_Int_Tables_number 1
_cell_length_a 4.762
_cell_length_b 4.762
_cell_length_c 4.762
_cell_angle_alpha 60.00
_cell_angle_beta 60.00
_cell_angle_gamma 60.00
loop_
_symmetry_equiv_pos_as_xyz
'x,y,z'
loop_
_atom_site_label
_atom_site_type_symbol
_atom_site_fract_x
_atom_site_fract_y
_atom_site_fract_z
_atom_site_occupancy
Sr1 Sr 0.000 0.000 0.000 1
Fe1 Fe 0.250 0.250 0.250 1
Ni1 Ni 0.750 0.750 0.750 1
```

---

[4]
SrFeNi4: relaxed, GGA-PBE.

Values from the calculation:
- calculated formation energy (eV/atom) = 0.212
- electronic total energy (Ry per atom) = -0.39193
- volume (Å³/atom) = 14.5
- crystal system = cubic
- SG = F-43m, No. 216

CIF file:
```
data_SrFeNi4
_symmetry_space_group_name_H-M 'P 1'
_symmetry_Int_Tables_number 1
_cell_length_a 4.977
_cell_length_b 4.977
_cell_length_c 4.977
_cell_angle_alpha 60.00
_cell_angle_beta 60.00
_cell_angle_gamma 60.00
loop_
_symmetry_equiv_pos_as_xyz
'x,y,z'
loop_
_atom_site_label
_atom_site_type_symbol
_atom_site_fract_x
_atom_site_fract_y
_atom_site_fract_z
_atom_site_occupancy
Sr1 Sr 0.000 0.000 0.000 1
Fe1 Fe 0.750 0.750 0.750 1
Ni1 Ni 0.376 0.376 0.376 1
Ni2 Ni 0.376 0.376 0.871 1
Ni3 Ni 0.376 0.871 0.376 1
Ni4 Ni 0.871 0.376 0.376 1
```

---

Look up the volume of the third one.
25.4 Å³/atom

---

Which of these has the highest calculated formation energy?
SrFeNi3